Below is a relaxed NaTmPbI6 crystal, with properties calculated at the PBE level.

Unit cell a=7.930 b=7.930 c=14.389 alpha=90.00 beta=90.00 gamma=120.00
Fractional coordinates of all 18 atoms:
I: 0.023 0.663 0.872
I: 0.977 0.337 0.128
I: 0.977 0.639 0.372
I: 0.337 0.977 0.628
I: 0.663 0.639 0.128
I: 0.023 0.361 0.628
I: 0.663 0.023 0.372
I: 0.639 0.977 0.872
I: 0.361 0.337 0.372
I: 0.337 0.361 0.872
I: 0.639 0.663 0.628
I: 0.361 0.023 0.128
Tm: 0.333 0.667 0.750
Tm: 0.667 0.333 0.250
Pb: 0.333 0.667 0.250
Pb: 0.667 0.333 0.750
Na: 0.000 0.000 0.500
Na: 0.000 0.000 0.000

Output
Mass density = 4.92 Mg/m³
DOS at the Fermi energy = 0.00 states/eV/cell
V = 783.7 Å³/cell
ΔE_f (raw) = -1.09 eV/atom

=====

Below is a relaxed NaPbWI crystal, with properties calculated at the PBE level.

Unit cell a=3.432 b=5.006 c=7.541 alpha=99.68 beta=103.12 gamma=110.05
Fractional coordinates of all 4 atoms:
Na: 0.214 0.998 0.100
W: 0.380 0.732 0.697
I: 0.693 0.659 0.395
Pb: 0.740 0.333 0.817

Output
Mass density = 7.87 Mg/m³
DOS at the Fermi energy = 2.57 states/eV/cell
Polymorph energy (0 for the lowest one) = 55 meV/atom
V = 114.2 Å³/cell
ΔE_f (raw) = 0.58 eV/atom

=====

Below is a relaxed NaPbWI crystal, with properties calculated at the PBE level.

Unit cell a=3.649 b=3.649 c=9.018 alpha=90.00 beta=90.00 gamma=120.00
Fractional coordinates of all 4 atoms:
W: 0.333 0.667 0.447
I: 0.000 0.000 0.646
Na: 0.333 0.667 0.959
Pb: 0.000 0.000 0.226

Output
Mass density = 8.64 Mg/m³
DOS at the Fermi energy = 1.10 states/eV/cell
Polymorph energy (0 for the lowest one) = 14 meV/atom
V = 104.0 Å³/cell
ΔE_f (raw) = 0.54 eV/atom

=====

Below is a relaxed NaPbWI crystal, with properties calculated at the PBE level.

Unit cell a=7.910 b=3.291 c=9.409 alpha=90.00 beta=111.03 gamma=90.00
Fractional coordinates of all 8 atoms:
Na: 0.922 0.000 0.589
Na: 0.922 0.500 0.089
Pb: 0.212 0.000 0.394
Pb: 0.212 0.500 0.894
I: 0.609 0.000 0.771
I: 0.609 0.500 0.271
W: 0.525 0.000 0.027
W: 0.525 0.500 0.527

Output
Mass density = 7.86 Mg/m³
DOS at the Fermi energy = 3.02 states/eV/cell
Polymorph energy (0 for the lowest one) = 170 meV/atom
V = 228.6 Å³/cell
ΔE_f (raw) = 0.69 eV/atom

=====

Below is a relaxed NaPbWI crystal, with properties calculated at the PBE level.

Unit cell a=3.023 b=3.091 c=11.997 alpha=84.14 beta=85.53 gamma=89.99
Fractional coordinates of all 4 atoms:
Pb: 0.551 0.037 0.588
Na: 0.975 0.440 0.831
I: 0.336 0.767 0.263
W: 0.409 0.857 0.041

Output
Mass density = 8.08 Mg/m³
DOS at the Fermi energy = 3.52 states/eV/cell
Polymorph energy (0 for the lowest one) = 464 meV/atom
V = 111.2 Å³/cell
ΔE_f (raw) = 0.99 eV/atom

=====

Below is a relaxed NaPbWI crystal, with properties calculated at the PBE level.

Unit cell a=3.520 b=4.088 c=7.611 alpha=105.58 beta=90.03 gamma=89.99
Fractional coordinates of all 4 atoms:
Na: 0.300 0.941 0.196
Pb: 0.798 0.597 0.508
I: 0.799 0.310 0.935
W: 0.298 0.162 0.638

Output
Mass density = 8.51 Mg/m³
DOS at the Fermi energy = 3.06 states/eV/cell
Polymorph energy (0 for the lowest one) = 16 meV/atom
V = 105.5 Å³/cell
ΔE_f (raw) = 0.54 eV/atom